A relaxed Pm6Dy3ErTh2 crystal, computed with GGA-PBE.

For the total energy, the calculation gives -5.107 eV/atom. Its volume is 396 Å³ per cell. The formation energy is 0.036 eV/atom. As for the symmetry: C2/m.

Structure (POSCAR):
```
Pm6Dy3ErTh2
1.0
3.1169 -5.3917 0.0000
3.1169 5.3917 0.0000
-2.0820 0.0000 11.7870
Pm Dy Er Th
6 3 1 2
direct
0.0817 0.4173 0.7523 Pm
0.2469 0.2469 0.2483 Pm
0.4173 0.0817 0.7523 Pm
0.5827 0.9183 0.2477 Pm
0.7531 0.7531 0.7517 Pm
0.9183 0.5827 0.2477 Pm
0.0000 0.0000 0.5000 Dy
0.3333 0.6667 0.5000 Dy
0.6667 0.3333 0.5000 Dy
0.5000 0.5000 0.0000 Er
0.1664 0.8336 0.0000 Th
0.8336 0.1664 0.0000 Th
```

***

A relaxed Pm6Dy2Er3Th crystal, computed with GGA-PBE.

For the total energy, the calculation gives -4.870 eV/atom. Its volume is 393 Å³ per cell. The formation energy is 0.032 eV/atom. As for the symmetry: C2/m.

Structure (POSCAR):
```
Pm6Dy2Er3Th
1.0
3.1139 -5.3897 0.0000
3.1139 5.3897 0.0000
-2.0799 0.0000 11.7030
Pm Dy Er Th
6 2 3 1
direct
0.0837 0.4139 0.7504 Pm
0.2463 0.2463 0.2499 Pm
0.4139 0.0837 0.7504 Pm
0.5861 0.9163 0.2496 Pm
0.7537 0.7537 0.7501 Pm
0.9163 0.5861 0.2496 Pm
0.3333 0.6667 0.5000 Dy
0.6667 0.3333 0.5000 Dy
0.1670 0.8330 0.0000 Er
0.5000 0.5000 0.0000 Er
0.8330 0.1670 0.0000 Er
0.0000 0.0000 0.5000 Th
```

***

A relaxed Pm2DyErTh crystal, computed with GGA-PBE.

For the total energy, the calculation gives -4.903 eV/atom. Its volume is 344 Å³ per cell. The formation energy is 0.314 eV/atom. As for the symmetry: P2/c.

Structure (POSCAR):
```
Pm2DyErTh
1.0
8.5336 0.0000 0.0000
0.0000 6.3544 0.0000
-0.5012 0.0000 6.3496
Pm Dy Er Th
4 2 2 2
direct
0.1887 0.2053 0.2750 Pm
0.1887 0.7947 0.7750 Pm
0.8113 0.2053 0.2250 Pm
0.8113 0.7947 0.7250 Pm
0.5000 0.5000 0.0000 Dy
0.5000 0.5000 0.5000 Dy
0.0000 0.3142 0.7500 Er
0.0000 0.6858 0.2500 Er
0.5000 0.0513 0.7500 Th
0.5000 0.9487 0.2500 Th
```

***

A relaxed Pm3DyErTh crystal, computed with GGA-PBE.

For the total energy, the calculation gives -5.112 eV/atom. Its volume is 395 Å³ per cell. The formation energy is 0.027 eV/atom. As for the symmetry: P2_1/m.

Structure (POSCAR):
```
Pm3DyErTh
1.0
8.0404 0.0000 0.0000
0.0000 5.0933 0.0000
-3.2877 0.0000 9.6536
Pm Dy Er Th
6 2 2 2
direct
0.1690 0.2500 0.2913 Pm
0.1700 0.7500 0.5432 Pm
0.1770 0.7500 0.0443 Pm
0.8230 0.2500 0.9557 Pm
0.8300 0.2500 0.4568 Pm
0.8310 0.7500 0.7087 Pm
0.4980 0.2500 0.6277 Dy
0.5020 0.7500 0.3723 Dy
0.1778 0.2500 0.7947 Er
0.8222 0.7500 0.2053 Er
0.4994 0.7500 0.8782 Th
0.5006 0.2500 0.1218 Th
```